Record 1
Ca4SnPb3 PBE relaxed; formation energy = -547 meV/atom; total magnetization = 0.000 μB per cell
1.0
3.594 0.000 0.000
0.000 3.594 0.000
0.000 0.000 18.301
Pb Ca Sn
3 4 1
Cartesian
1.797 1.797 4.544
1.797 1.797 9.150
1.797 1.797 13.757
0.000 0.000 16.087
0.000 0.000 2.214
0.000 0.000 6.847
0.000 0.000 11.454
1.797 1.797 0.000



Record 2
Ca2Sn2Pb PBE relaxed; formation energy = -450 meV/atom; total magnetization = 0.000 μB per cell
1.0
4.688 0.000 0.000
2.344 5.874 -0.158
2.344 1.794 5.595
Ca Sn Pb
2 2 1
Cartesian
7.032 5.481 3.886
2.344 2.187 1.551
4.688 4.666 1.545
4.688 3.001 3.893
0.000 0.000 0.000



Record 3
Ca2Sn4Pb3 PBE relaxed; formation energy = -261 meV/atom; total magnetization = 0.000 μB per cell
1.0
4.317 0.000 0.924
1.943 5.555 1.468
-0.046 -0.252 10.764
Ca Sn Pb
2 4 3
Cartesian
1.650 0.566 2.839
4.564 4.738 10.318
3.967 3.065 2.561
4.894 1.754 8.776
1.320 3.550 4.381
2.247 2.239 10.596
2.948 4.154 7.321
0.000 0.000 0.000
3.266 1.150 5.836



Record 4
Ca5Sn2Pb2 PBE relaxed; formation energy = -558 meV/atom; total magnetization = 0.000 μB per cell
1.0
7.679 0.000 2.787
0.000 8.115 0.000
0.885 0.000 9.531
Ca Sn Pb
10 4 4
Cartesian
0.000 0.000 0.000
3.839 4.057 1.394
4.122 1.454 8.293
6.875 6.661 9.293
3.036 5.511 7.899
7.961 2.604 9.687
4.442 6.661 4.025
1.689 1.454 3.026
5.528 2.604 4.419
0.603 5.511 2.631
0.955 3.045 0.347
6.724 5.070 2.441
2.884 7.102 1.047
4.794 1.013 1.740
2.204 0.000 5.897
6.044 4.057 7.291
6.360 0.000 6.421
2.520 4.057 5.028



Record 5
Ca4Sn2Pb PBE relaxed; energy above the most stable polymorph in this dataset = 0.000 eV per atom; formation energy = -507 meV/atom; total magnetization = 0.000 μB per cell
1.0
5.188 0.000 1.621
2.341 4.630 1.621
-0.078 -0.048 9.365
Pb Ca Sn
1 4 2
Cartesian
0.000 0.000 0.000
6.547 4.026 6.385
0.903 0.556 6.222
4.665 2.869 3.296
2.786 1.713 9.311
5.600 3.444 9.417
1.851 1.138 3.189



Record 6
Ca4SnPb2 PBE relaxed; formation energy = -545 meV/atom; total magnetization = 0.000 μB per cell
1.0
6.292 -0.021 -2.227
-3.142 5.454 -2.220
-0.012 0.021 6.675
Pb Ca Sn
2 4 1
Cartesian
1.575 2.716 -2.224
3.140 0.000 2.224
3.146 -0.011 -1.114
1.569 2.727 1.114
-0.006 0.011 3.337
-1.571 2.727 -1.110
0.000 0.000 0.000



Record 7
CaSn2Pb3 PBE relaxed; formation energy = -151 meV/atom; total magnetization = 0.000 μB per cell
1.0
4.857 0.000 -1.501
-0.208 8.064 -0.672
0.260 0.319 9.448
Ca Sn Pb
2 4 6
Cartesian
0.750 2.179 2.428
4.159 6.204 4.847
2.299 6.950 7.438
2.610 1.433 -0.163
1.095 5.260 3.541
3.815 3.123 3.734
3.261 7.946 1.941
0.170 6.831 0.550
1.996 3.725 6.459
2.913 4.658 0.816
4.739 1.552 6.725
1.649 0.437 5.334



Record 8
Ca2SnPb PBE relaxed; formation energy = -232 meV/atom; total magnetization = 0.000 μB per cell
1.0
8.639 0.000 0.000
0.000 8.639 0.000
4.319 4.319 3.458
Pb Ca Sn
2 4 2
Cartesian
0.000 0.000 0.000
8.639 4.319 1.729
6.437 2.160 0.865
2.201 6.479 0.865
6.479 6.521 2.594
10.798 10.757 2.594
4.319 4.319 0.000
4.319 8.639 1.729